No. 1
Density functional theory data (PBE-GGA) for crystalline SbSe3 at its relaxed geometry.

The density of states at the Fermi level is 1.391 states/eV/atom. The value obtained for the final energy is -3.30 eV/atom. The energy above the lowest structure with this stoichiometry is 325 meV/atom. The energy relative to the elements, uncorrected comes out at 7.97 kcal/mol of atoms.

The structure belongs to space group Fm-3m (No. 225); the cell edges are 7.078, 7.078 and 7.078 Å and the angles 90.00°, 90.00° and 90.00°. The distinct sites, in fractional coordinates, are Sb at (0.000, 0.000, 0.000), Se at (0.000, 0.000, 0.500) and Se at (0.250, 0.250, 0.250).


No. 2
Density functional theory data (PBE-GGA) for crystalline SbSe2 at its relaxed geometry.

The density of states at the Fermi level is 1.057 states/eV/atom. The value obtained for the final energy is -3.09 eV/atom. The energy relative to the elements, uncorrected comes out at 13.97 kcal/mol of atoms.

The structure belongs to space group Fd-3m (No. 227, origin choice 2); the cell edges are 8.226, 8.226 and 8.226 Å and the angles 90.00°, 90.00° and 90.00°. The distinct sites, in fractional coordinates, are Sb at (0.125, 0.125, 0.125) and Se at (0.000, 0.000, 0.500).